First-principles (GGA-PBE) data for a relaxed Pr3Sm5Cd2 crystal, as listed in the Alexandria database.

Cell: 13.4138 15.0081 6.7668 Å, 90.00 90.00 90.00°
Space group Ibam (No. 72)
Inequivalent atoms, fractional coordinates:
1 Pr 0.0000 0.0000 0.2500 x4
2 Pr 0.1384 0.2292 0.0000 x8
3 Sm 0.0000 0.5000 0.2500 x4
4 Sm 0.0997 0.3301 0.5000 x8
5 Sm 0.2422 0.5000 0.2500 x8
6 Cd 0.1347 0.1386 0.5000 x8

**E_tot**: -3.85 eV/atom
**Crystal system**: orthorhombic
**Formation energy from the elements**: 0.12 eV/atom
**Calculated volume**: 34.06 Å³ per atom
**Calculated density**: 6.8 g/cm³